[1]
Material: Ti5MnCo
Method: DFT, GGA-PBE
State: relaxed

abc: 5.1276 5.1276 8.2597
angles: 93.27 93.27 94.22
Positions (direct):
Ti 0.0230 0.6179 0.1684
Ti 0.2388 0.4673 0.5085
Ti 0.6179 0.0230 0.6684
Ti 0.8690 0.1310 0.2500
Ti 0.5327 0.7612 0.9915
Ti 0.4673 0.2388 0.0085
Ti 0.1310 0.8690 0.7500
Ti 0.3821 0.9770 0.3316
Ti 0.7612 0.5327 0.4915
Ti 0.9770 0.3821 0.8316
Mn 0.4845 0.5155 0.2500
Mn 0.5155 0.4845 0.7500
Co 0.0000 0.0000 0.0000
Co 0.0000 0.0000 0.5000

Summary:
ΔH_f (0 K): 0.016 eV/atom
crystal system: monoclinic
N(E_F): 1.29 states/eV per atom

***

[2]
Material: ZnCu2Hg2Pd5
Method: DFT, GGA-PBE
State: relaxed

abc: 3.8458 9.2290 9.2290
angles: 90.00 90.00 90.00
Positions (direct):
Zn 0.0000 0.0000 0.0000
Zn 0.0000 0.5000 0.5000
Cu 0.0000 0.1283 0.6283
Cu 0.0000 0.8717 0.3717
Cu 0.0000 0.6283 0.8717
Cu 0.0000 0.3717 0.1283
Hg 0.0000 0.6679 0.1679
Hg 0.0000 0.3321 0.8321
Hg 0.0000 0.1679 0.3321
Hg 0.0000 0.8321 0.6679
Pd 0.5000 0.1907 0.0846
Pd 0.5000 0.8093 0.9154
Pd 0.5000 0.0846 0.8093
Pd 0.5000 0.6907 0.4154
Pd 0.5000 0.9154 0.1907
Pd 0.5000 0.3093 0.5846
Pd 0.5000 0.5846 0.6907
Pd 0.5000 0.4154 0.3093
Pd 0.5000 0.5000 0.0000
Pd 0.5000 0.0000 0.5000

Summary:
ΔH_f (0 K): -0.108 eV/atom
crystal system: tetragonal
N(E_F): 0.32 states/eV per atom

***

[3]
Material: Tm4BiRu
Method: DFT, GGA-PBE
State: relaxed

abc: 6.1026 7.9486 7.9486
angles: 112.34 102.05 102.05
Positions (direct):
Tm 0.8580 0.6537 0.7986
Tm 0.0630 0.9423 0.2745
Tm 0.6420 0.2014 0.3463
Tm 0.4370 0.7255 0.0577
Tm 0.5630 0.2745 0.9423
Tm 0.3580 0.7986 0.6537
Tm 0.9370 0.0577 0.7255
Tm 0.1420 0.3463 0.2014
Bi 0.7500 0.6270 0.3730
Bi 0.2500 0.3730 0.6270
Ru 0.2500 0.0003 0.9997
Ru 0.7500 0.9997 0.0003

Summary:
offset from the most stable computed form: 0 meV/atom
ΔH_f (0 K): -0.514 eV/atom
crystal system: monoclinic
N(E_F): 0.72 states/eV per atom

***

[4]
Material: HfZr2ZnH
Method: DFT, GGA-PBE
State: relaxed

abc: 4.3645 4.3645 4.3985
angles: 90.00 90.00 90.00
Positions (direct):
H 0.0000 0.0000 0.0000
Zn 0.0000 0.0000 0.5000
Hf 0.5000 0.5000 0.5000
Zr 0.0000 0.5000 0.0000
Zr 0.5000 0.0000 0.0000

Summary:
offset from the most stable computed form: 98 meV/atom
crystal system: tetragonal
N(E_F): 0.61 states/eV per atom

***

[5]
Material: RbGa2CuSe4
Method: DFT, GGA-PBE
State: relaxed

abc: 5.8967 7.7203 7.7203
angles: 114.66 67.55 67.55
Positions (direct):
Rb 0.5000 0.0000 0.0000
Ga 0.0000 0.2500 0.7500
Ga 0.0000 0.7500 0.2500
Cu 0.5000 0.5000 0.5000
Se 0.0915 0.8496 0.5588
Se 0.9085 0.4412 0.1504
Se 0.5001 0.5588 0.8496
Se 0.4999 0.1504 0.4412

Summary:
crystal system: tetragonal
N(E_F): 0.60 states/eV per atom

***

[6]
Material: Ho3ZnCu
Method: DFT, GGA-PBE
State: relaxed

abc: 8.2322 6.4382 8.9230
angles: 88.81 90.00 90.00
Positions (direct):
Ho 0.9447 0.7807 0.3301
Ho 0.0553 0.2193 0.6699
Ho 0.4447 0.2193 0.1699
Ho 0.5553 0.7807 0.8301
Ho 0.5452 0.7608 0.4248
Ho 0.4548 0.2392 0.5752
Ho 0.0452 0.2392 0.0752
Ho 0.9548 0.7608 0.9248
Ho 0.1964 0.7225 0.6298
Ho 0.8036 0.2775 0.3702
Ho 0.6964 0.2775 0.8702
Ho 0.3036 0.7225 0.1298
Zn 0.6783 0.5800 0.1291
Zn 0.3217 0.4200 0.8709
Zn 0.1783 0.4200 0.3709
Zn 0.8217 0.5800 0.6291
Cu 0.2199 0.0272 0.3791
Cu 0.7801 0.9728 0.6209
Cu 0.7199 0.9728 0.1209
Cu 0.2801 0.0272 0.8791

Summary:
offset from the most stable computed form: 48 meV/atom
ΔH_f (0 K): -0.174 eV/atom
crystal system: monoclinic
N(E_F): 0.95 states/eV per atom

***

[7]
Material: NiIr
Method: DFT, GGA-PBE
State: relaxed

abc: 6.6577 7.1090 9.2762
angles: 90.00 90.00 90.00
Positions (direct):
Ni 0.1713 0.0000 0.0000
Ni 0.8287 0.0000 0.0000
Ni 0.0787 0.7500 0.2500
Ni 0.4213 0.7500 0.2500
Ni 0.1713 0.5000 0.5000
Ni 0.8287 0.5000 0.5000
Ni 0.0787 0.2500 0.7500
Ni 0.4213 0.2500 0.7500
Ni 0.6713 0.0000 0.5000
Ni 0.3287 0.0000 0.5000
Ni 0.5787 0.7500 0.7500
Ni 0.9213 0.7500 0.7500
Ni 0.6713 0.5000 0.0000
Ni 0.3287 0.5000 0.0000
Ni 0.5787 0.2500 0.2500
Ni 0.9213 0.2500 0.2500
Ir 0.0000 0.6784 0.0000
Ir 0.0000 0.3216 0.0000
Ir 0.2500 0.0716 0.2500
Ir 0.2500 0.4284 0.2500
Ir 0.0000 0.1784 0.5000
Ir 0.0000 0.8216 0.5000
Ir 0.2500 0.5716 0.7500
Ir 0.2500 0.9284 0.7500
Ir 0.5000 0.6784 0.5000
Ir 0.5000 0.3216 0.5000
Ir 0.7500 0.0716 0.7500
Ir 0.7500 0.4284 0.7500
Ir 0.5000 0.1784 0.0000
Ir 0.5000 0.8216 0.0000
Ir 0.7500 0.5716 0.2500
Ir 0.7500 0.9284 0.2500

Summary:
ΔH_f (0 K): 0.499 eV/atom
crystal system: orthorhombic
N(E_F): 1.67 states/eV per atom

***

[8]
Material: TlNiP
Method: DFT, GGA-PBE
State: relaxed

abc: 3.8743 3.8743 8.8126
angles: 102.70 102.70 90.00
Last column: magnetic moment on the atom in μB.
Positions (direct):
P 0.0723 0.0723 0.1446  0.01
P 0.9277 0.9277 0.8554  0.01
Tl 0.3367 0.3367 0.6734  0.00
Tl 0.6633 0.6633 0.3266  0.00
Ni 0.5000 0.0000 0.0000  0.17
Ni 0.0000 0.5000 0.0000  0.17

Summary:
offset from the most stable computed form: 67 meV/atom
ΔH_f (0 K): -0.154 eV/atom
crystal system: tetragonal
N(E_F): 0.69 states/eV per atom

***

[9]
Material: Ag2PRu
Method: DFT, GGA-PBE
State: relaxed

abc: 5.3528 5.3528 5.3528
angles: 145.58 129.68 62.39
Positions (direct):
Ag 0.9863 0.9863 0.0000
Ag 0.2737 0.7737 0.5000
P 0.5346 0.5346 0.0000
Ru 0.7054 0.2054 0.5000

Summary:
offset from the most stable computed form: 286 meV/atom
ΔH_f (0 K): 0.240 eV/atom
crystal system: orthorhombic
N(E_F): 0.77 states/eV per atom

***

[10]
Material: InMo2Os
Method: DFT, GGA-PBE
State: relaxed

abc: 5.0054 5.0054 2.8689
angles: 90.00 90.00 113.96
Positions (direct):
In 0.0000 0.5000 0.5000
Mo 0.0000 0.0000 0.0000
Mo 0.5000 0.5000 0.0000
Os 0.5000 0.0000 0.5000

Summary:
ΔH_f (0 K): 0.400 eV/atom
crystal system: orthorhombic
N(E_F): 1.14 states/eV per atom

***

[11]
Material: AcSmGaN3
Method: DFT, GGA-PBE
State: relaxed

abc: 3.5919 7.7289 7.7516
angles: 99.24 90.00 90.00
Positions (direct):
Ac 0.2500 0.1814 0.1915
Ac 0.7500 0.8186 0.8085
Sm 0.2500 0.6395 0.1616
Sm 0.7500 0.3605 0.8384
Ga 0.2500 0.0956 0.6095
Ga 0.7500 0.9044 0.3905
N 0.7500 0.8688 0.1401
N 0.2500 0.1312 0.8599
N 0.2500 0.8426 0.4938
N 0.7500 0.1574 0.5062
N 0.7500 0.4085 0.1425
N 0.2500 0.5915 0.8575

Summary:
crystal system: monoclinic

***

[12]
Material: Al2CrGaS6
Method: DFT, GGA-PBE
State: relaxed

abc: 6.2315 7.9696 7.9696
angles: 85.07 81.80 81.80
Last column: magnetic moment on the atom in μB.
Positions (direct):
Al 0.2010 0.7806 0.5947  0.01
Al 0.2990 0.4053 0.2194  0.01
Al 0.7990 0.2194 0.4053  0.01
Al 0.7010 0.5947 0.7806  0.01
Cr 0.2500 0.9114 0.0886  2.85
Cr 0.7500 0.0886 0.9114  2.85
Ga 0.2500 0.2644 0.7356  0.04
Ga 0.7500 0.7356 0.2644  0.04
S 0.1206 0.9746 0.8065  -0.06
S 0.3794 0.1935 0.0254  -0.06
S 0.8794 0.0254 0.1935  -0.06
S 0.6206 0.8065 0.9746  -0.06
S 0.3923 0.8859 0.3559  -0.03
S 0.1077 0.6441 0.1141  -0.03
S 0.6077 0.1141 0.6441  -0.03
S 0.8923 0.3559 0.8859  -0.03
S 0.8767 0.7171 0.5467  0.00
S 0.6233 0.4533 0.2829  0.00
S 0.1233 0.2829 0.4533  0.00
S 0.3767 0.5467 0.7171  0.00

Summary:
crystal system: monoclinic

***

[13]
Material: TlOsBr2
Method: DFT, GGA-PBE
State: relaxed

abc: 3.7347 3.1811 9.0954
angles: 89.96 90.00 90.00
Positions (direct):
Tl 0.5000 0.7500 0.7500
Os 0.5000 0.2500 0.2500
Br 0.0000 0.2497 0.0725
Br 0.0000 0.2503 0.4275

Summary:
offset from the most stable computed form: 173 meV/atom
crystal system: orthorhombic
N(E_F): 0.94 states/eV per atom

***

[14]
Material: PRuRh3
Method: DFT, GGA-PBE
State: relaxed

abc: 4.3549 4.3549 4.3549
angles: 90.00 90.00 90.00
Last column: magnetic moment on the atom in μB.
Positions (direct):
Ru 0.5000 0.5000 0.5000  2.65
Rh 0.0000 0.5000 0.0000  0.33
Rh 0.0000 0.0000 0.5000  0.30
Rh 0.5000 0.0000 0.0000  0.50
P 0.0000 0.0000 0.0000  0.00

Summary:
offset from the most stable computed form: 0 meV/atom
ΔH_f (0 K): 0.457 eV/atom
crystal system: cubic
N(E_F): 1.61 states/eV per atom

***

[15]
Material: LaIrOs2
Method: DFT, GGA-PBE
State: relaxed

abc: 2.8196 2.8196 9.7994
angles: 90.00 90.00 118.05
Positions (direct):
Ir 0.5000 0.5000 0.2500
La 0.5000 0.5000 0.7500
Os 0.0000 0.0000 0.0203
Os 0.0000 0.0000 0.4797

Summary:
offset from the most stable computed form: 580 meV/atom
ΔH_f (0 K): 0.771 eV/atom
crystal system: orthorhombic
N(E_F): 1.34 states/eV per atom

***

[16]
Material: HfThRh2
Method: DFT, GGA-PBE
State: relaxed

abc: 3.2812 3.2812 7.3727
angles: 90.00 90.00 90.00
Positions (direct):
Rh 0.0000 0.0000 0.7922
Rh 0.0000 0.0000 0.2078
Hf 0.5000 0.5000 0.0000
Th 0.5000 0.5000 0.5000

Summary:
ΔH_f (0 K): -0.783 eV/atom
crystal system: tetragonal
N(E_F): 1.26 states/eV per atom

***

[17]
Material: Sr4Tl5Pt2
Method: DFT, GGA-PBE
State: relaxed

abc: 4.1944 8.1960 9.8772
angles: 90.79 90.00 90.00
Positions (direct):
Sr 0.5000 0.7795 0.5815
Sr 0.5000 0.1867 0.8440
Sr 0.5000 0.2205 0.4185
Sr 0.5000 0.8133 0.1560
Tl 0.0000 0.5668 0.3424
Tl 0.0000 0.1484 0.1366
Tl 0.0000 0.5000 0.0000
Tl 0.0000 0.8516 0.8634
Tl 0.0000 0.4332 0.6576
Pt 0.0000 0.0734 0.6278
Pt 0.0000 0.9266 0.3722

Summary:
ΔH_f (0 K): -0.476 eV/atom
crystal system: monoclinic
N(E_F): 0.54 states/eV per atom

***

[18]
Material: LiCe2Zn4Ga3
Method: DFT, GGA-PBE
State: relaxed

abc: 4.2695 4.2695 10.4942
angles: 90.00 90.00 90.00
Last column: magnetic moment on the atom in μB.
Positions (direct):
Li 0.5000 0.5000 0.5000  0.01
Ce 0.5000 0.0000 0.2428  0.65
Ce 0.0000 0.5000 0.7572  0.65
Zn 0.5000 0.5000 0.0000  -0.01
Zn 0.0000 0.0000 0.0000  -0.01
Zn 0.5000 0.0000 0.6295  0.00
Zn 0.0000 0.5000 0.3705  0.00
Ga 0.0000 0.0000 0.5000  -0.01
Ga 0.5000 0.0000 0.8624  -0.01
Ga 0.0000 0.5000 0.1376  -0.01

Summary:
ΔH_f (0 K): -0.371 eV/atom
crystal system: tetragonal
N(E_F): 1.30 states/eV per atom

***

[19]
Material: HfBF2
Method: DFT, GGA-PBE
State: relaxed

abc: 7.9484 7.9484 7.9484
angles: 154.12 154.12 36.92
Last column: magnetic moment on the atom in μB.
Positions (direct):
Hf 0.7500 0.2500 0.5000  0.14
Hf 0.0000 0.0000 0.0000  0.14
B 0.2500 0.7500 0.5000  0.09
B 0.5000 0.5000 0.0000  0.09
F 0.0865 0.6250 0.9615  0.01
F 0.6635 0.1250 0.0385  0.01
F 0.3750 0.3365 0.4615  0.01
F 0.8750 0.9135 0.5385  0.01

Summary:
offset from the most stable computed form: 0 meV/atom
crystal system: tetragonal
N(E_F): 0.71 states/eV per atom

***

[20]
Material: Pm6ZnSi2
Method: DFT, GGA-PBE
State: relaxed

abc: 8.6736 8.6736 8.6736
angles: 107.19 110.25 110.99
Positions (direct):
Pm 0.4424 0.2667 0.1757
Pm 0.5576 0.7333 0.8243
Pm 0.9089 0.7333 0.1757
Pm 0.0911 0.2667 0.8243
Pm 0.1987 0.7500 0.9486
Pm 0.8013 0.2500 0.0514
Pm 0.8013 0.7500 0.5513
Pm 0.1987 0.2500 0.4487
Pm 0.2943 0.9685 0.6742
Pm 0.7057 0.0315 0.3258
Pm 0.7057 0.3799 0.6742
Pm 0.2943 0.6201 0.3258
Zn 0.0000 0.5000 0.5000
Zn 0.0000 0.0000 0.0000
Si 0.5000 0.3845 0.8845
Si 0.5000 0.6155 0.1155
Si 0.3618 0.0000 0.3618
Si 0.6382 0.0000 0.6382

Summary:
crystal system: orthorhombic
N(E_F): 0.81 states/eV per atom

***

[21]
Material: AcPr3Sm7
Method: DFT, GGA-PBE
State: relaxed

abc: 8.9051 7.2801 7.2801
angles: 120.00 90.00 90.00
Positions (direct):
Ac 0.4430 0.3333 0.6667
Pr 0.7865 0.5012 0.4988
Pr 0.7865 0.5012 0.0025
Pr 0.7865 0.9975 0.4988
Sm 0.1147 0.1661 0.8339
Sm 0.1147 0.1661 0.3323
Sm 0.1244 0.6667 0.3333
Sm 0.4480 0.8326 0.1674
Sm 0.4480 0.3347 0.1674
Sm 0.4480 0.8326 0.6653
Sm 0.1147 0.6677 0.8339

Summary:
offset from the most stable computed form: 0 meV/atom
ΔH_f (0 K): 0.182 eV/atom
crystal system: trigonal
N(E_F): 1.55 states/eV per atom

***

Calculated uncorrected energy (eV/atom), listed in the same order as above: -7.95 -3.71 -5.69 -6.47 -3.62 -3.99 -6.82 -4.67 -4.86 -8.51 -7.03 -5.28 -3.78 -6.89 -8.29 -8.80 -3.26 -3.17 -6.47 -4.93 -4.50